(1)
Na2ZnN: optimized geometry, PBE.

Output
* magnetic moment: 0.000 μB/f.u.
* volume: 378 Å³/cell

Unit cell a=10.0737 b=10.0737 c=3.7266 alpha=90.00 beta=90.00 gamma=90.00
Closest atoms and distances in Å follow each position.
Space group I-42d (No. 122)
Inequivalent atoms, fractional coordinates:
Na 0.0499 0.7500 0.1250 (multiplicity 8)  2 N 2.61
Zn 0.0000 0.0000 0.5000 (multiplicity 4)  2 N 1.86
N 0.0000 0.0000 0.0000 (multiplicity 4)  2 Zn 1.86

---

(2)
Na2ZnN: optimized geometry, PBE.

Output
* magnetic moment: 0.000 μB/f.u.
* volume: 261 Å³/cell

Unit cell a=6.3903 b=6.3903 c=6.3903 alpha=90.00 beta=90.00 gamma=90.00
Closest atoms and distances in Å follow each position.
Space group Fm-3m (No. 225)
Inequivalent atoms, fractional coordinates:
Na 0.2500 0.2500 0.2500 (multiplicity 8)  4 Zn 2.77, 4 N 2.77
Zn 0.0000 0.0000 0.0000 (multiplicity 4)  8 Na 2.77
N 0.0000 0.0000 0.5000 (multiplicity 4)  8 Na 2.77

---

The data favor (1); the next most stable structure lies 597 meV per atom above it.

---

(1)
NaZn3N: optimized geometry, PBE.

Output
* magnetic moment: 2.392 μB/f.u.
* volume: 186 Å³/cell

Unit cell a=5.7133 b=5.7133 c=5.7133 alpha=90.00 beta=90.00 gamma=90.00
Closest atoms and distances in Å follow each position.
Space group Pm-3m (No. 221)
Inequivalent atoms, fractional coordinates:
Na 0.0000 0.0000 0.0000 (multiplicity 1)  6 Zn 2.86
Zn 0.0000 0.0000 0.5000 (multiplicity 3)  2 Na 2.86
N 0.5000 0.5000 0.5000 (multiplicity 1)  12 Zn 4.04

---

(2)
NaZn3N: optimized geometry, PBE.

Output
* magnetic moment: 0.000 μB/f.u.
* volume: 81 Å³/cell

Unit cell a=4.3297 b=4.3297 c=4.3297 alpha=90.00 beta=90.00 gamma=90.00
Closest atoms and distances in Å follow each position.
Space group Pm-3m (No. 221)
Inequivalent atoms, fractional coordinates:
Na 0.0000 0.0000 0.0000 (multiplicity 1)  12 Zn 3.06
Zn 0.0000 0.5000 0.5000 (multiplicity 3)  2 N 2.16
N 0.5000 0.5000 0.5000 (multiplicity 1)  6 Zn 2.16

---

The data favor (2); the next most stable structure lies 1060 meV per atom above it.

---

(1)
NaZrZn2N: optimized geometry, PBE.

Output
* magnetic moment: 1.676 μB/f.u.
* volume: 171 Å³/cell

Unit cell a=5.2604 b=5.2604 c=6.1768 alpha=90.00 beta=90.00 gamma=90.00
Closest atoms and distances in Å follow each position.
Space group P4/mmm (No. 123)
Inequivalent atoms, fractional coordinates:
Na 0.0000 0.0000 0.0000 (multiplicity 1)  2 Zr 3.09
Zr 0.0000 0.0000 0.5000 (multiplicity 1)  4 Zn 2.63
Zn 0.0000 0.5000 0.5000 (multiplicity 2)  2 Zr 2.63
N 0.5000 0.5000 0.0000 (multiplicity 1)  4 Na 3.72, 8 Zn 4.06

---

(2)
NaZrZn2N: optimized geometry, PBE.

Output
* magnetic moment: 0.000 μB/f.u.
* volume: 87 Å³/cell

Unit cell a=4.6030 b=4.6030 c=4.1152 alpha=90.00 beta=90.00 gamma=90.00
Closest atoms and distances in Å follow each position.
Space group P4/mmm (No. 123)
Inequivalent atoms, fractional coordinates:
Na 0.0000 0.0000 0.0000 (multiplicity 1)  2 N 2.06, 4 Zn 2.30
Zr 0.5000 0.5000 0.5000 (multiplicity 1)  8 Zn 3.09, 4 N 3.25
Zn 0.0000 0.5000 0.0000 (multiplicity 2)  2 Na 2.30
N 0.0000 0.0000 0.5000 (multiplicity 1)  2 Na 2.06

---

The data favor (2); the next most stable structure lies 1031 meV per atom above it.

---

(1)
NaZr3N: optimized geometry, PBE.

Output
* magnetic moment: 0.003 μB/f.u.
* volume: 118 Å³/cell

Unit cell a=4.9100 b=4.9100 c=4.9100 alpha=90.00 beta=90.00 gamma=90.00
Closest atoms and distances in Å follow each position.
Space group Pm-3m (No. 221)
Inequivalent atoms, fractional coordinates:
Na 0.0000 0.0000 0.0000 (multiplicity 1)  6 Zr 2.45
Zr 0.0000 0.0000 0.5000 (multiplicity 3)  2 Na 2.45
N 0.5000 0.5000 0.5000 (multiplicity 1)  12 Zr 3.47

---

(2)
NaZr3N: optimized geometry, PBE.

Output
* magnetic moment: 0.000 μB/f.u.
* volume: 96 Å³/cell

Unit cell a=4.5820 b=4.5820 c=4.5820 alpha=90.00 beta=90.00 gamma=90.00
Closest atoms and distances in Å follow each position.
Space group Pm-3m (No. 221)
Inequivalent atoms, fractional coordinates:
Na 0.0000 0.0000 0.0000 (multiplicity 1)  12 Zr 3.24
Zr 0.0000 0.5000 0.5000 (multiplicity 3)  2 N 2.29
N 0.5000 0.5000 0.5000 (multiplicity 1)  6 Zr 2.29

---

The data favor (2); the next most stable structure lies 2749 meV per atom above it.

---

(1)
Nb8N5: optimized geometry, PBE.

Output
* magnetic moment: 0.000 μB/f.u.
* volume: 338 Å³/cell

Unit cell a=6.1426 b=8.8185 c=6.2311 alpha=90.00 beta=90.00 gamma=90.00
Closest atoms and distances in Å follow each position.
Space group Cmmm (No. 65)
Inequivalent atoms, fractional coordinates:
Nb 0.0000 0.2478 0.0000 (multiplicity 4)  4 N 2.18
Nb 0.0000 0.2501 0.5000 (multiplicity 4)  5 N 2.20-2.21
Nb 0.2449 0.5000 0.2502 (multiplicity 8)  3 N 2.20-2.21
N 0.0000 0.0000 0.5000 (multiplicity 2)  6 Nb 2.21
N 0.2500 0.2500 0.2483 (multiplicity 8)  6 Nb 2.18-2.20

---

(2)
Nb8N5: optimized geometry, PBE.

Output
* magnetic moment: 0.000 μB/f.u.
* volume: 169 Å³/cell

Unit cell a=4.3799 b=4.3799 c=8.8076 alpha=90.00 beta=90.00 gamma=90.00
Closest atoms and distances in Å follow each position.
Space group P4/mmm (No. 123)
Inequivalent atoms, fractional coordinates:
Nb 0.0000 0.0000 0.2466 (multiplicity 2)  4 N 2.19
Nb 0.0000 0.5000 0.0000 (multiplicity 2)  2 N 2.20
Nb 0.0000 0.5000 0.5000 (multiplicity 2)  4 N 2.19-2.20
Nb 0.5000 0.5000 0.2492 (multiplicity 2)  5 N 2.19-2.21
N 0.0000 0.5000 0.2500 (multiplicity 4)  6 Nb 2.19-2.20
N 0.5000 0.5000 0.5000 (multiplicity 1)  6 Nb 2.19-2.21

---

The data favor (1); the next most stable structure lies 17 meV per atom above it.

---

(1)
NbNi3N: optimized geometry, PBE.

Output
* magnetic moment: 1.920 μB/f.u.
* volume: 94 Å³/cell

Unit cell a=4.5532 b=4.5532 c=4.5532 alpha=90.00 beta=90.00 gamma=90.00
Closest atoms and distances in Å follow each position.
Space group Pm-3m (No. 221)
Inequivalent atoms, fractional coordinates:
Nb 0.0000 0.0000 0.0000 (multiplicity 1)  6 Ni 2.28
Ni 0.0000 0.0000 0.5000 (multiplicity 3)  2 Nb 2.28
N 0.5000 0.5000 0.5000 (multiplicity 1)  12 Ni 3.22

---

(2)
NbNi3N: optimized geometry, PBE.

Output
* magnetic moment: 1.362 μB/f.u.
* volume: 57 Å³/cell

Unit cell a=3.8542 b=3.8542 c=3.8542 alpha=90.00 beta=90.00 gamma=90.00
Closest atoms and distances in Å follow each position.
Space group Pm-3m (No. 221)
Inequivalent atoms, fractional coordinates:
Nb 0.0000 0.0000 0.0000 (multiplicity 1)  12 Ni 2.73
Ni 0.0000 0.5000 0.5000 (multiplicity 3)  2 N 1.93
N 0.5000 0.5000 0.5000 (multiplicity 1)  6 Ni 1.93

---

The data favor (2); the next most stable structure lies 2243 meV per atom above it.

---

(1)
NbNiSe2N: optimized geometry, PBE.

Output
* magnetic moment: 1.773 μB/f.u.
* volume: 83 Å³/cell

Unit cell a=4.9205 b=4.9205 c=3.4089 alpha=90.00 beta=90.00 gamma=90.00
Closest atoms and distances in Å follow each position.
Space group P4/mmm (No. 123)
Inequivalent atoms, fractional coordinates:
Nb 0.0000 0.0000 0.0000 (multiplicity 1)  8 Se 2.99
Ni 0.5000 0.5000 0.5000 (multiplicity 1)  2 N 1.70
Se 0.0000 0.5000 0.5000 (multiplicity 2)  2 Ni 2.46
N 0.5000 0.5000 0.0000 (multiplicity 1)  2 Ni 1.70

---

(2)
NbNiSe2N: optimized geometry, PBE.

Output
* magnetic moment: 1.636 μB/f.u.
* volume: 103 Å³/cell

Unit cell a=5.1558 b=5.1558 c=3.8580 alpha=90.00 beta=90.00 gamma=90.00
Closest atoms and distances in Å follow each position.
Space group P4/mmm (No. 123)
Inequivalent atoms, fractional coordinates:
Nb 0.0000 0.0000 0.0000 (multiplicity 1)  2 N 1.93
Ni 0.5000 0.5000 0.5000 (multiplicity 1)  8 Se 3.22
Se 0.0000 0.5000 0.0000 (multiplicity 2)  2 Nb 2.58
N 0.0000 0.0000 0.5000 (multiplicity 1)  2 Nb 1.93

---

The data favor (2); the next most stable structure lies 46 meV per atom above it.

---

(1)
NbNiTeN2: optimized geometry, PBE.

Output
* magnetic moment: 1.449 μB/f.u.
* volume: 94 Å³/cell

Unit cell a=3.9589 b=3.9589 c=5.9690 alpha=90.00 beta=90.00 gamma=90.00
Closest atoms and distances in Å follow each position.
Space group P4/mmm (No. 123)
Inequivalent atoms, fractional coordinates:
Nb 0.0000 0.0000 0.0000 (multiplicity 1)  4 N 1.98
Ni 0.5000 0.5000 0.5000 (multiplicity 1)  4 Te 2.80
Te 0.0000 0.0000 0.5000 (multiplicity 1)  4 Ni 2.80, 2 Nb 2.98
N 0.0000 0.5000 0.0000 (multiplicity 2)  2 Nb 1.98

---

(2)
NbNiTeN2: optimized geometry, PBE.

Output
* magnetic moment: 0.000 μB/f.u.
* volume: 73 Å³/cell

Unit cell a=3.8889 b=3.8889 c=4.8471 alpha=90.00 beta=90.00 gamma=90.00
Closest atoms and distances in Å follow each position.
Space group P4/mmm (No. 123)
Inequivalent atoms, fractional coordinates:
Nb 0.0000 0.0000 0.0000 (multiplicity 1)  4 Te 2.75
Ni 0.5000 0.5000 0.5000 (multiplicity 1)  4 N 1.94
Te 0.5000 0.5000 0.0000 (multiplicity 1)  2 Ni 2.42
N 0.0000 0.5000 0.5000 (multiplicity 2)  2 Ni 1.94

---

The data favor (1); the next most stable structure lies 760 meV per atom above it.